Below is a relaxed MgAlGa crystal, with properties calculated at the GGA-PBE level.

Structure (POSCAR):
```
MgAlGa
1.0
4.709 0.000 0.000
-2.354 4.078 0.000
0.000 0.000 2.908
Mg Al Ga
1 1 1
direct
0.000 0.000 0.000
0.667 0.333 0.500
0.333 0.667 0.500
```

## Properties
- space group = No. 187
- magnetization (μB per formula unit) = 0.000
- DFT total energy (eV for the cell shown) = -8.51
- energy relative to the elements (eV per formula unit) = -0.15